Arrangement one

Compound: ZrTc2W
Source: the Alexandria database
Functional: GGA-PBEsol
Structure: optimized geometry

Cell: 6.322 6.322 6.322 Å, 90.00 90.00 90.00°
Positions (direct):
1 Zr 0.000 0.000 0.000
2 Zr 0.000 0.500 0.500
3 Zr 0.500 0.000 0.500
4 Zr 0.500 0.500 0.000
5 Tc 0.250 0.250 0.250
6 Tc 0.250 0.250 0.750
7 Tc 0.250 0.750 0.250
8 Tc 0.250 0.750 0.750
9 Tc 0.750 0.250 0.250
10 Tc 0.750 0.250 0.750
11 Tc 0.750 0.750 0.250
12 Tc 0.750 0.750 0.750
13 W 0.000 0.000 0.500
14 W 0.000 0.500 0.000
15 W 0.500 0.000 0.000
16 W 0.500 0.500 0.500

## Properties
- symmetry = Fm-3m
- D(E_F) (states/eV/atom) = 0.231
- volume (Å³/cell) = 252.70

---

Arrangement two

Compound: ZrTc2W
Source: the Alexandria database
Functional: GGA-PBEsol
Structure: optimized geometry

Cell: 4.481 4.481 3.152 Å, 90.00 90.00 90.00°
Positions (direct):
1 Zr 0.000 0.000 0.000
2 Tc 0.000 0.500 0.500
3 Tc 0.500 0.000 0.500
4 W 0.500 0.500 0.000

## Properties
- symmetry = P4/mmm
- D(E_F) (states/eV/atom) = 0.301
- volume (Å³/cell) = 63.28

---

Relative calculated energies, zero for the most stable structure, unit kJ/mol of atoms: arrangement one 0.0; arrangement two 3.1.

---

Arrangement one

Compound: YTc2
Source: the Alexandria database
Functional: GGA-PBEsol
Structure: optimized geometry

Cell: 5.313 5.313 17.510 Å, 90.00 90.00 120.00°
Positions (direct):
1 Y 0.000 0.000 0.093
2 Y 0.000 0.000 0.407
3 Y 0.000 0.000 0.593
4 Y 0.000 0.000 0.907
5 Y 0.333 0.667 0.156
6 Y 0.333 0.667 0.344
7 Y 0.667 0.333 0.656
8 Y 0.667 0.333 0.844
9 Tc 0.000 0.500 0.000
10 Tc 0.000 0.500 0.500
11 Tc 0.161 0.322 0.750
12 Tc 0.161 0.839 0.750
13 Tc 0.322 0.161 0.250
14 Tc 0.333 0.667 0.630
15 Tc 0.333 0.667 0.870
16 Tc 0.500 0.000 0.000
17 Tc 0.500 0.000 0.500
18 Tc 0.500 0.500 0.000
19 Tc 0.500 0.500 0.500
20 Tc 0.667 0.333 0.130
21 Tc 0.667 0.333 0.370
22 Tc 0.678 0.839 0.750
23 Tc 0.839 0.161 0.250
24 Tc 0.839 0.678 0.250

## Properties
- symmetry = P6_3/mmc
- D(E_F) (states/eV/atom) = 0.964
- volume (Å³/cell) = 427.98

---

Arrangement two

Compound: YTc2
Source: the Alexandria database
Functional: GGA-PBEsol
Structure: optimized geometry

Cell: 4.327 4.327 3.360 Å, 90.00 90.00 120.00°
Positions (direct):
1 Y 0.000 0.000 0.000
2 Tc 0.333 0.667 0.565
3 Tc 0.667 0.333 0.435

## Properties
- symmetry = P-3m1
- D(E_F) (states/eV/atom) = 0.698
- volume (Å³/cell) = 54.49

---

Relative calculated energies, zero for the most stable structure, unit kJ/mol of atoms: arrangement one 0.0; arrangement two 37.5.

---

Arrangement one

Compound: Y2ZrTc
Source: the Alexandria database
Functional: GGA-PBEsol
Structure: optimized geometry

Cell: 5.963 9.769 3.127 Å, 90.00 108.66 90.00°
Positions (direct):
1 Y 0.250 0.250 0.000
2 Y 0.250 0.750 0.000
3 Y 0.750 0.250 0.000
4 Y 0.750 0.750 0.000
5 Zr 0.000 0.000 0.500
6 Zr 0.500 0.500 0.500
7 Tc 0.000 0.500 0.500
8 Tc 0.500 0.000 0.500

## Properties
- symmetry = C2/m
- D(E_F) (states/eV/atom) = 1.138
- volume (Å³/cell) = 172.58

---

Arrangement two

Compound: Y2ZrTc
Source: the Alexandria database
Functional: GGA-PBEsol
Structure: optimized geometry

Cell: 3.483 5.172 10.308 Å, 90.00 90.00 90.00°
Positions (direct):
1 Y 0.000 0.000 0.000
2 Y 0.000 0.500 0.208
3 Y 0.500 0.000 0.708
4 Y 0.500 0.500 0.500
5 Zr 0.000 0.500 0.798
6 Zr 0.500 0.000 0.298
7 Tc 0.000 0.000 0.480
8 Tc 0.500 0.500 0.980

## Properties
- symmetry = Imm2
- D(E_F) (states/eV/atom) = 0.957
- volume (Å³/cell) = 185.72

---

Relative calculated energies, zero for the most stable structure, unit kJ/mol of atoms: arrangement one 37.2; arrangement two 0.0.

---

Arrangement one

Compound: ZnTc2
Source: the Alexandria database
Functional: GGA-PBEsol
Structure: optimized geometry

Cell: 9.853 2.769 6.282 Å, 90.00 105.44 90.00°
Positions (direct):
1 Zn 0.197 0.000 0.130
2 Zn 0.303 0.500 0.870
3 Zn 0.697 0.500 0.130
4 Zn 0.803 0.000 0.870
5 Tc 0.015 0.500 0.793
6 Tc 0.136 0.000 0.535
7 Tc 0.364 0.500 0.465
8 Tc 0.485 0.000 0.207
9 Tc 0.515 0.000 0.793
10 Tc 0.636 0.500 0.535
11 Tc 0.864 0.000 0.465
12 Tc 0.985 0.500 0.207

## Properties
- symmetry = C2/m
- D(E_F) (states/eV/atom) = 0.866
- volume (Å³/cell) = 165.20

---

Arrangement two

Compound: ZnTc2
Source: the Alexandria database
Functional: GGA-PBEsol
Structure: optimized geometry

Cell: 2.765 13.758 4.309 Å, 90.00 90.00 90.00°
Positions (direct):
1 Zn 0.000 0.111 0.250
2 Zn 0.000 0.889 0.750
3 Zn 0.500 0.389 0.750
4 Zn 0.500 0.611 0.250
5 Tc 0.000 0.218 0.750
6 Tc 0.000 0.445 0.250
7 Tc 0.000 0.555 0.750
8 Tc 0.000 0.782 0.250
9 Tc 0.500 0.055 0.750
10 Tc 0.500 0.282 0.250
11 Tc 0.500 0.718 0.750
12 Tc 0.500 0.945 0.250

## Properties
- symmetry = Cmcm
- D(E_F) (states/eV/atom) = 0.871
- volume (Å³/cell) = 163.90

---

Arrangement three

Compound: ZnTc2
Source: the Alexandria database
Functional: GGA-PBEsol
Structure: optimized geometry

Cell: 3.026 3.026 9.005 Å, 90.00 90.00 90.00°
Positions (direct):
1 Zn 0.000 0.000 0.000
2 Zn 0.500 0.500 0.500
3 Tc 0.000 0.000 0.326
4 Tc 0.000 0.000 0.674
5 Tc 0.500 0.500 0.174
6 Tc 0.500 0.500 0.826

## Properties
- symmetry = I4/mmm
- D(E_F) (states/eV/atom) = 0.383
- volume (Å³/cell) = 82.44

---

Relative calculated energies, zero for the most stable structure, unit kJ/mol of atoms: arrangement one 7.8; arrangement two 7.0; arrangement three 0.0.

---

Arrangement one

Compound: ZnTc2
Source: the Alexandria database
Functional: GGA-PBEsol
Structure: optimized geometry

Cell: 2.727 2.727 6.510 Å, 90.00 90.00 120.00°
Positions (direct):
1 Zn 0.000 0.000 0.000
2 Tc 0.333 0.667 0.655
3 Tc 0.667 0.333 0.345

## Properties
- symmetry = P-3m1
- D(E_F) (states/eV/atom) = 0.506
- volume (Å³/cell) = 41.92

---

Arrangement two

Compound: ZnTc2
Source: the Alexandria database
Functional: GGA-PBEsol
Structure: optimized geometry

Cell: 4.283 4.283 2.610 Å, 90.00 90.00 120.00°
Positions (direct):
1 Zn 0.000 0.000 0.000
2 Tc 0.333 0.667 0.624
3 Tc 0.667 0.333 0.376

## Properties
- symmetry = P-3m1
- D(E_F) (states/eV/atom) = 0.710
- volume (Å³/cell) = 41.47

---

Relative calculated energies, zero for the most stable structure, unit kJ/mol of atoms: arrangement one 0.0; arrangement two 11.1.

---

Arrangement one

Compound: Zr4Tc
Source: the Alexandria database
Functional: GGA-PBEsol
Structure: optimized geometry

Cell: 7.809 7.809 3.289 Å, 90.00 90.00 90.00°
Positions (direct):
1 Zr 0.085 0.724 0.000
2 Zr 0.224 0.415 0.500
3 Zr 0.276 0.085 0.000
4 Zr 0.415 0.776 0.500
5 Zr 0.585 0.224 0.500
6 Zr 0.724 0.915 0.000
7 Zr 0.776 0.585 0.500
8 Zr 0.915 0.276 0.000
9 Tc 0.000 0.000 0.500
10 Tc 0.500 0.500 0.000

## Properties
- symmetry = I4/m
- D(E_F) (states/eV/atom) = 1.032
- volume (Å³/cell) = 200.58

---

Arrangement two

Compound: Zr4Tc
Source: the Alexandria database
Functional: GGA-PBEsol
Structure: optimized geometry

Cell: 3.612 3.612 16.573 Å, 90.00 90.00 90.00°
Positions (direct):
1 Zr 0.000 0.000 0.085
2 Zr 0.000 0.000 0.915
3 Zr 0.000 0.500 0.250
4 Zr 0.000 0.500 0.750
5 Zr 0.500 0.000 0.250
6 Zr 0.500 0.000 0.750
7 Zr 0.500 0.500 0.415
8 Zr 0.500 0.500 0.585
9 Tc 0.000 0.000 0.500
10 Tc 0.500 0.500 0.000

## Properties
- symmetry = I4/mmm
- D(E_F) (states/eV/atom) = 1.031
- volume (Å³/cell) = 216.19

---

Relative calculated energies, zero for the most stable structure, unit kJ/mol of atoms: arrangement one 0.0; arrangement two 84.2.

---

Arrangement one

Compound: Zr5Tc
Source: the Alexandria database
Functional: GGA-PBEsol
Structure: optimized geometry

Cell: 10.874 3.287 7.258 Å, 90.00 109.54 90.00°
Positions (direct):
1 Zr 0.000 0.000 0.000
2 Zr 0.146 0.500 0.355
3 Zr 0.166 0.500 0.810
4 Zr 0.334 0.000 0.190
5 Zr 0.354 0.000 0.645
6 Zr 0.500 0.500 0.000
7 Zr 0.646 0.000 0.355
8 Zr 0.666 0.000 0.810
9 Zr 0.834 0.500 0.190
10 Zr 0.854 0.500 0.645
11 Tc 0.000 0.000 0.500
12 Tc 0.500 0.500 0.500

## Properties
- symmetry = C2/m
- D(E_F) (states/eV/atom) = 1.121
- volume (Å³/cell) = 244.52

---

Arrangement two

Compound: Zr5Tc
Source: the Alexandria database
Functional: GGA-PBEsol
Structure: optimized geometry

Cell: 3.248 3.248 11.597 Å, 90.00 90.00 90.00°
Positions (direct):
1 Zr 0.000 0.000 0.000
2 Zr 0.000 0.000 0.364
3 Zr 0.000 0.000 0.636
4 Zr 0.500 0.500 0.182
5 Zr 0.500 0.500 0.818
6 Tc 0.500 0.500 0.500

## Properties
- symmetry = P4/mmm
- D(E_F) (states/eV/atom) = 1.233
- volume (Å³/cell) = 122.36

---

Relative calculated energies, zero for the most stable structure, unit kJ/mol of atoms: arrangement one 0.0; arrangement two 1.1.

---

Arrangement one

Compound: Te
Source: the Alexandria database
Functional: GGA-PBEsol
Structure: optimized geometry

Cell: 7.058 7.058 7.058 Å, 90.00 90.00 90.00°
Positions (direct):
1 Te 0.125 0.125 0.125
2 Te 0.125 0.625 0.625
3 Te 0.375 0.375 0.875
4 Te 0.375 0.875 0.375
5 Te 0.625 0.125 0.625
6 Te 0.625 0.625 0.125
7 Te 0.875 0.375 0.375
8 Te 0.875 0.875 0.875

## Properties
- symmetry = Fd-3m
- D(E_F) (states/eV/atom) = 1.077
- volume (Å³/cell) = 351.62

---

Arrangement two

Compound: Te
Source: the Alexandria database
Functional: GGA-PBEsol
Structure: optimized geometry

Cell: 7.150 7.150 7.150 Å, 115.39 115.39 115.39°
Positions (direct):
1 Te 0.064 0.653 0.803
2 Te 0.197 0.936 0.347
3 Te 0.347 0.197 0.936
4 Te 0.653 0.803 0.064
5 Te 0.803 0.064 0.653
6 Te 0.936 0.347 0.197

## Properties
- symmetry = R-3
- D(E_F) (states/eV/atom) = 0.041
- volume (Å³/cell) = 197.04

---

Relative calculated energies, zero for the most stable structure, unit kJ/mol of atoms: arrangement one 45.5; arrangement two 0.0.

---

Arrangement one

Compound: Tl2Te3
Source: the Alexandria database
Functional: GGA-PBEsol
Structure: optimized geometry

Cell: 6.750 6.750 10.127 Å, 118.15 118.15 58.47°
Positions (direct):
1 Tl 0.014 0.986 0.500
2 Tl 0.492 0.658 0.239
3 Tl 0.658 0.492 0.739
4 Tl 0.986 0.014 0.000
5 Te 0.034 0.491 0.516
6 Te 0.278 0.380 0.809
7 Te 0.380 0.278 0.309
8 Te 0.491 0.034 0.016
9 Te 0.631 0.936 0.637
10 Te 0.936 0.631 0.137

## Properties
- symmetry = Cc
- D(E_F) (states/eV/atom) = 0.005
- volume (Å³/cell) = 330.87

---

Arrangement two

Compound: Tl2Te3
Source: the Alexandria database
Functional: GGA-PBEsol
Structure: optimized geometry

Cell: 7.241 7.241 7.874 Å, 104.35 104.35 52.99°
Positions (direct):
1 Tl 0.041 0.746 0.553
2 Tl 0.254 0.959 0.947
3 Tl 0.746 0.041 0.053
4 Tl 0.959 0.254 0.447
5 Te 0.180 0.458 0.917
6 Te 0.369 0.631 0.250
7 Te 0.458 0.180 0.417
8 Te 0.542 0.820 0.583
9 Te 0.631 0.369 0.750
10 Te 0.820 0.542 0.083

## Properties
- symmetry = C2/c
- D(E_F) (states/eV/atom) = 0.025
- volume (Å³/cell) = 316.80

---

Relative calculated energies, zero for the most stable structure, unit kJ/mol of atoms: arrangement one 3.7; arrangement two 0.0.

---

Arrangement one

Compound: Tl5Te3
Source: the Alexandria database
Functional: GGA-PBEsol
Structure: optimized geometry

Cell: 9.491 9.491 6.751 Å, 90.00 90.00 120.00°
Positions (direct):
1 Tl 0.000 0.286 0.250
2 Tl 0.000 0.714 0.750
3 Tl 0.286 0.000 0.250
4 Tl 0.286 0.286 0.750
5 Tl 0.333 0.667 0.000
6 Tl 0.333 0.667 0.500
7 Tl 0.667 0.333 0.000
8 Tl 0.667 0.333 0.500
9 Tl 0.714 0.000 0.750
10 Tl 0.714 0.714 0.250
11 Te 0.000 0.374 0.750
12 Te 0.000 0.626 0.250
13 Te 0.374 0.000 0.750
14 Te 0.374 0.374 0.250
15 Te 0.626 0.000 0.250
16 Te 0.626 0.626 0.750

## Properties
- symmetry = P6_3/mcm
- D(E_F) (states/eV/atom) = 0.568
- volume (Å³/cell) = 526.60

---

Arrangement two

Compound: Tl5Te3
Source: the Alexandria database
Functional: GGA-PBEsol
Structure: optimized geometry

Cell: 8.854 8.854 8.854 Å, 120.66 120.66 88.87°
Positions (direct):
1 Tl 0.000 0.000 0.000
2 Tl 0.011 0.511 0.204
3 Tl 0.193 0.989 0.500
4 Tl 0.307 0.807 0.796
5 Tl 0.489 0.693 0.500
6 Tl 0.500 0.500 0.000
7 Tl 0.511 0.307 0.500
8 Tl 0.693 0.193 0.204
9 Tl 0.807 0.011 0.500
10 Tl 0.989 0.489 0.796
11 Te 0.157 0.343 0.500
12 Te 0.250 0.250 0.000
13 Te 0.343 0.843 0.186
14 Te 0.657 0.157 0.814
15 Te 0.750 0.750 0.000
16 Te 0.843 0.657 0.500

## Properties
- symmetry = I4/mcm
- D(E_F) (states/eV/atom) = 0.303
- volume (Å³/cell) = 485.83

---

Relative calculated energies, zero for the most stable structure, unit kJ/mol of atoms: arrangement one 5.3; arrangement two 0.0.

---

Arrangement one

Compound: TlTeW
Source: the Alexandria database
Functional: GGA-PBEsol
Structure: optimized geometry

Cell: 6.894 6.894 6.894 Å, 90.00 90.00 90.00°
Positions (direct):
1 Tl 0.000 0.000 0.000
2 Tl 0.000 0.500 0.500
3 Tl 0.500 0.000 0.500
4 Tl 0.500 0.500 0.000
5 Te 0.250 0.250 0.750
6 Te 0.250 0.750 0.250
7 Te 0.750 0.250 0.250
8 Te 0.750 0.750 0.750
9 W 0.250 0.250 0.250
10 W 0.250 0.750 0.750
11 W 0.750 0.250 0.750
12 W 0.750 0.750 0.250

## Properties
- symmetry = F-43m
- D(E_F) (states/eV/atom) = 0.658
- volume (Å³/cell) = 327.60

---

Arrangement two

Compound: TlTeW
Source: the Alexandria database
Functional: GGA-PBEsol
Structure: optimized geometry

Cell: 3.332 3.332 6.921 Å, 90.00 90.00 120.00°
Positions (direct):
1 Tl 0.000 0.000 0.000
2 Te 0.333 0.667 0.409
3 W 0.667 0.333 0.676

## Properties
- symmetry = P3m1
- D(E_F) (states/eV/atom) = 0.945
- volume (Å³/cell) = 66.54

---

Relative calculated energies, zero for the most stable structure, unit kJ/mol of atoms: arrangement one 128.7; arrangement two 0.0.

---

Arrangement one

Compound: YTl2Te
Source: the Alexandria database
Functional: GGA-PBEsol
Structure: optimized geometry

Cell: 4.218 4.218 6.190 Å, 90.00 90.00 90.00°
Positions (direct):
1 Y 0.000 0.000 0.000
2 Tl 0.500 0.500 0.247
3 Tl 0.500 0.500 0.753
4 Te 0.000 0.000 0.500

## Properties
- symmetry = P4/mmm
- D(E_F) (states/eV/atom) = 0.574
- volume (Å³/cell) = 110.15

---

Arrangement two

Compound: YTl2Te
Source: the Alexandria database
Functional: GGA-PBEsol
Structure: optimized geometry

Cell: 4.703 4.714 9.566 Å, 90.00 90.00 90.00°
Positions (direct):
1 Y 0.000 0.000 0.000
2 Y 0.500 0.500 0.500
3 Tl 0.000 0.000 0.500
4 Tl 0.000 0.500 0.250
5 Tl 0.500 0.000 0.750
6 Tl 0.500 0.500 0.000
7 Te 0.000 0.500 0.750
8 Te 0.500 0.000 0.250

## Properties
- symmetry = Imm2
- D(E_F) (states/eV/atom) = 0.492
- volume (Å³/cell) = 212.08

---

Arrangement three

Compound: YTl2Te
Source: the Alexandria database
Functional: GGA-PBEsol
Structure: optimized geometry

Cell: 4.050 4.050 6.773 Å, 90.00 90.00 90.00°
Positions (direct):
1 Y 0.000 0.000 0.000
2 Tl 0.000 0.000 0.488
3 Tl 0.500 0.500 0.708
4 Te 0.500 0.500 0.169

## Properties
- symmetry = P4mm
- D(E_F) (states/eV/atom) = 0.480
- volume (Å³/cell) = 111.11

---

Relative calculated energies, zero for the most stable structure, unit kJ/mol of atoms: arrangement one 22.5; arrangement two 9.1; arrangement three 0.0.